Density functional theory data (GGA-PBE) for an optimized crystal structure of Na4Ce3DyS8.

```
Na4Ce3DyS8
1.0
4.1015 2.3680 6.6634
-4.1015 2.3680 6.6634
0.0000 -4.7360 6.6634
Na Ce Dy S
4 3 1 8
direct
0.0000 0.0000 0.0000
0.0000 0.5000 0.5000
0.5000 0.0000 0.5000
0.5000 0.5000 0.0000
0.0000 0.0000 0.5000
0.0000 0.5000 0.0000
0.5000 0.0000 0.0000
0.5000 0.5000 0.5000
0.2446 0.2446 0.2446
0.2506 0.7398 0.7398
0.2602 0.2602 0.7494
0.2602 0.7494 0.2602
0.7398 0.2506 0.7398
0.7398 0.7398 0.2506
0.7494 0.2602 0.2602
0.7554 0.7554 0.7554
```

- Electronic total energy: -5.5515 eV per atom
- Total magnetic moment: 3.02 μB/f.u.


Density functional theory data (GGA-PBE) for an optimized crystal structure of Tl2FeAs.

```
Tl2FeAs
1.0
5.1641 -1.5881 0.0000
5.1641 1.5881 0.0000
-2.8829 0.0000 5.5802
Tl Fe As
2 1 1
direct
0.0000 0.0000 0.0000
0.1602 0.1602 0.6332
0.7543 0.7543 0.0619
0.3386 0.3386 0.3726
```

- Calculated formation energy: 271.1 meV/atom
- Electronic total energy: -4.1901 eV per atom
- ΔE to the lowest computed polymorph: 0.113 eV/atom
- Total magnetic moment: 1.82 μB/f.u.


Density functional theory data (GGA-PBE) for an optimized crystal structure of Ni2SbS2.

```
Ni2SbS2
1.0
-1.9499 1.9499 5.1768
1.9499 -1.9499 5.1768
1.9499 1.9499 -5.1768
Ni Sb S
2 1 2
direct
0.1257 0.1257 0.0000
0.8743 0.8743 0.0000
0.5000 0.5000 0.0000
0.2500 0.7500 0.5000
0.7500 0.2500 0.5000
```

- Electronic total energy: -4.6621 eV per atom
- Total magnetic moment: 0.00 μB/f.u.


Density functional theory data (GGA-PBE) for an optimized crystal structure of PaGeO6.

```
PaGeO6
1.0
0.0000 4.0234 4.0234
4.0234 0.0000 4.0234
4.0234 4.0234 0.0000
Pa Ge O
1 1 6
direct
0.0000 0.0000 0.0000
0.5000 0.5000 0.5000
0.2662 0.2662 0.7338
0.2662 0.7338 0.2662
0.2662 0.7338 0.7338
0.7338 0.2662 0.2662
0.7338 0.2662 0.7338
0.7338 0.7338 0.2662
```

- Electronic total energy: -7.2016 eV per atom
- ΔE to the lowest computed polymorph: 0.012 eV/atom
- Total magnetic moment: 3.08 μB/f.u.


Density functional theory data (GGA-PBE) for an optimized crystal structure of Sm2YIn.

```
Sm2YIn
1.0
-2.4036 2.4036 5.1130
2.4036 -2.4036 5.1130
2.4036 2.4036 -5.1130
Sm Y In
2 1 1
direct
0.2500 0.7500 0.5000
0.7500 0.2500 0.5000
0.0000 0.0000 0.0000
0.5000 0.5000 0.0000
```

- Calculated formation energy: -253.6 meV/atom
- Electronic total energy: -4.9138 eV per atom
- ΔE to the lowest computed polymorph: 0.020 eV/atom
- Total magnetic moment: 0.00 μB/f.u.


Density functional theory data (GGA-PBE) for an optimized crystal structure of La2InHgS.

```
La2InHgS
1.0
6.0551 0.0000 0.0000
0.0000 6.0551 0.0000
0.0000 0.0000 4.8191
La In Hg S
2 1 1 1
direct
0.0000 0.5000 0.0000
0.5000 0.0000 0.0000
0.0000 0.0000 0.5000
0.5000 0.5000 0.0000
0.5000 0.5000 0.5000
```

- Electronic total energy: -3.2714 eV per atom
- Total magnetic moment: 0.00 μB/f.u.


Density functional theory data (GGA-PBE) for an optimized crystal structure of NbGeTePO.

```
NbGeTePO
1.0
6.4702 -1.7828 0.0000
6.4702 1.7828 0.0000
-2.4513 0.0000 5.8712
Nb Ge Te P O
1 1 1 1 1
direct
0.0000 0.0000 0.0000
0.7209 0.7209 0.8791
0.6675 0.6675 0.2808
0.3486 0.3486 0.8980
0.0402 0.0402 0.7648
```

- Electronic total energy: -6.2300 eV per atom
- ΔE to the lowest computed polymorph: 0.124 eV/atom
- Total magnetic moment: 0.00 μB/f.u.


Repeat the second record exactly.
Density functional theory data (GGA-PBE) for an optimized crystal structure of Tl2FeAs.

```
Tl2FeAs
1.0
5.1641 -1.5881 0.0000
5.1641 1.5881 0.0000
-2.8829 0.0000 5.5802
Tl Fe As
2 1 1
direct
0.0000 0.0000 0.0000
0.1602 0.1602 0.6332
0.7543 0.7543 0.0619
0.3386 0.3386 0.3726
```

- Calculated formation energy: 271.1 meV/atom
- Electronic total energy: -4.1901 eV per atom
- ΔE to the lowest computed polymorph: 0.113 eV/atom
- Total magnetic moment: 1.82 μB/f.u.


Copy entry 2 word for word.
Density functional theory data (GGA-PBE) for an optimized crystal structure of Tl2FeAs.

```
Tl2FeAs
1.0
5.1641 -1.5881 0.0000
5.1641 1.5881 0.0000
-2.8829 0.0000 5.5802
Tl Fe As
2 1 1
direct
0.0000 0.0000 0.0000
0.1602 0.1602 0.6332
0.7543 0.7543 0.0619
0.3386 0.3386 0.3726
```

- Calculated formation energy: 271.1 meV/atom
- Electronic total energy: -4.1901 eV per atom
- ΔE to the lowest computed polymorph: 0.113 eV/atom
- Total magnetic moment: 1.82 μB/f.u.


Q: Which of these has the highest electronic total energy?
A: La2InHgS